No. 1
{"formula": "KTiSCl2", "functional": "PBE", "state": "relaxed", "lattice_angstrom": [[-4.7005, -2.1615, 1.2651], [0.2112, -3.0229, -4.3800], [2.5711, -3.9307, 2.8369]], "species": ["K", "Cl", "Cl", "Ti", "S"], "frac_coords": [[0.0000, 0.0000, 0.0000], [0.5000, 0.0000, 0.0000], [0.0000, 0.5000, 0.0000], [0.5000, 0.5000, 0.5000], [0.0000, 0.0000, 0.5000]], "rho_g_cm3": 2.03, "raw_formation_energy_ev_per_atom": 0.3582, "de_polymorph_mev_per_atom": 1843}

No. 2
{"formula": "BeFe3Ir", "functional": "PBE", "state": "relaxed", "lattice_angstrom": [[4.6161, 0.0000, 0.0000], [0.0000, 4.6161, 0.0000], [0.0000, 0.0000, 4.6161]], "species": ["Ir", "Fe", "Fe", "Fe", "Be"], "frac_coords": [[0.0000, 0.0000, 0.0000], [0.0000, 0.0000, 0.5000], [0.5000, 0.0000, 0.0000], [0.0000, 0.5000, 0.0000], [0.5000, 0.5000, 0.5000]], "formation_energy_ev_per_atom": 1.551, "rho_g_cm3": 6.23, "de_polymorph_mev_per_atom": 927}

No. 3
{"formula": "CeBAs2", "functional": "PBE", "state": "relaxed", "lattice_angstrom": [[3.1742, 0.0000, 0.0000], [1.5871, 2.7489, 0.0000], [1.5871, 0.9163, 8.6130]], "species": ["Ce", "As", "As", "B"], "frac_coords": [[0.0000, 0.0000, 0.0000], [0.8833, 0.8833, 0.3500], [0.1167, 0.1167, 0.6500], [0.5000, 0.5000, 0.5000]], "formation_energy_ev_per_atom": 0.368, "rho_g_cm3": 6.65, "de_polymorph_mev_per_atom": 464}

No. 4
{"formula": "Pm7Tm3Tl", "functional": "PBE", "state": "relaxed", "lattice_angstrom": [[-6.8819, -0.9230, 5.0194], [-2.8564, -4.3960, -4.7247], [4.0994, -2.5379, 5.1538]], "species": ["Pm", "Pm", "Pm", "Pm", "Pm", "Pm", "Pm", "Tm", "Tm", "Tm", "Tl"], "frac_coords": [[0.1163, 0.6626, 0.8313], [0.4503, 0.3390, 0.1695], [0.1163, 0.1687, 0.3374], [0.1094, 0.6667, 0.3333], [0.1163, 0.1687, 0.8313], [0.4503, 0.8305, 0.1695], [0.4503, 0.8305, 0.6610], [0.7815, 0.9985, 0.4992], [0.7815, 0.5008, 0.0015], [0.7815, 0.5008, 0.4992], [0.4614, 0.3333, 0.6667]], "formation_energy_ev_per_atom": 0.137, "rho_g_cm3": 7.76}

No. 5
{"formula": "AcTbHo2Tm", "functional": "PBE", "state": "relaxed", "lattice_angstrom": [[-4.8294, -0.5446, 3.1335], [2.8951, -4.2267, 3.7273], [4.2308, 4.7234, 7.3416]], "species": ["Ho", "Ho", "Ho", "Ho", "Tm", "Tm", "Ac", "Ac", "Tb", "Tb"], "frac_coords": [[0.2500, 0.0369, 0.5945], [0.7500, 0.7778, 0.7920], [0.7500, 0.9631, 0.4055], [0.2500, 0.2222, 0.2080], [0.7500, 0.3654, 0.5956], [0.2500, 0.6346, 0.4044], [0.2500, 0.4312, 0.7994], [0.7500, 0.5688, 0.2006], [0.7500, 0.1637, 0.9986], [0.2500, 0.8363, 0.0014]], "formation_energy_ev_per_atom": 0.045, "rho_g_cm3": 8.73}

No. 6
{"formula": "Rb2U2S7", "functional": "PBE", "state": "relaxed", "lattice_angstrom": [[5.1674, -0.0101, 0.7353], [1.9797, 7.5156, 4.1710], [-0.0258, 0.0923, 9.1723]], "species": ["S", "S", "S", "S", "S", "S", "S", "U", "U", "Rb", "Rb"], "frac_coords": [[0.1594, 0.5574, 0.2965], [0.8406, 0.1461, 0.2965], [0.6892, 0.6299, 0.0000], [0.3108, 0.3701, 0.0000], [0.0000, 0.0000, 0.0000], [0.8406, 0.4426, 0.7035], [0.1594, 0.8539, 0.7035], [0.1584, 0.6934, 0.0000], [0.8416, 0.3066, 0.0000], [0.5000, 0.8206, 0.3588], [0.5000, 0.1794, 0.6412]], "rho_g_cm3": 4.08, "raw_formation_energy_ev_per_atom": -1.1233}